Entry from Alexandria: a relaxed structure of Zn4Pd2Au3 (PBE-GGA).

ΔH_f (0 K)	-341.8	meV per atom
calculated total energy	-3.15	eV per atom
N(E_F)	0.2224	states/eV/atom
magnetization	0.000	μB per formula unit
mass density	12.542	Mg/m³

CIF file:
```
data_Zn4Pd2Au3
_chemical_formula_sum 'Zn8 Pd4 Au6'
_symmetry_space_group_name_H-M 'C 1 2/m 1'
_symmetry_Int_Tables_number 12
_symmetry_space_group_name_Hall '-C 2y'
_cell_length_a 8.384
_cell_length_b 4.073
_cell_length_c 8.432
_cell_angle_alpha 90.00
_cell_angle_beta 101.56
_cell_angle_gamma 90.00
loop_
_atom_site_label
_atom_site_type_symbol
_atom_site_fract_x
_atom_site_fract_y
_atom_site_fract_z
Zn1 Zn 0.006 0.000 0.332
Zn2 Zn 0.166 0.500 0.891
Pd1 Pd 0.165 0.500 0.210
Au1 Au 0.000 0.000 0.000
Au2 Au 0.167 0.500 0.574
```